# 1
Np3URh12 after structural relaxation, computed with PBE.

## Properties
**Total magnetic moment**: 0.000 μB per atom
**Density of states at the Fermi level**: 29.381 states/eV/f.u.
**Calculated density**: 14.10 Mg/m³
**Formation energy from the elements**: -0.427 eV per atom

Lattice parameters (Å, degrees): 4.0078 4.0078 16.0114 90.00 90.00 90.00
Last column: nearest neighbours and their distance in Å.
Space group P4/mmm (No. 123)
Inequivalent atoms, fractional coordinates:
Np 0.0000 0.0000 0.0000 (multiplicity 1)  12 Rh 2.83
Np 0.0000 0.0000 0.2489 (multiplicity 2)  12 Rh 2.82-2.84
U 0.0000 0.0000 0.5000 (multiplicity 1)  12 Rh 2.83-2.84
Rh 0.0000 0.5000 0.1251 (multiplicity 4)  4 Np 2.82-2.83, 8 Rh 2.83
Rh 0.0000 0.5000 0.3745 (multiplicity 4)  8 Rh 2.83-2.84, 2 U 2.84, 2 Np 2.84
Rh 0.5000 0.5000 0.0000 (multiplicity 1)  8 Rh 2.83, 4 Np 2.83
Rh 0.5000 0.5000 0.2500 (multiplicity 2)  8 Rh 2.83, 4 Np 2.83
Rh 0.5000 0.5000 0.5000 (multiplicity 1)  4 U 2.83, 8 Rh 2.84

# 2
Np2VRh9 after structural relaxation, computed with PBE.

## Properties
**Total magnetic moment**: 0.261 μB per atom
**Density of states at the Fermi level**: 22.304 states/eV/f.u.
**Calculated density**: 12.97 Mg/m³
**Formation energy from the elements**: -0.374 eV per atom

Lattice parameters (Å, degrees): 3.9467 3.9467 11.9280 90.00 90.00 90.00
Last column: nearest neighbours and their distance in Å.
Space group P4/mmm (No. 123)
Inequivalent atoms, fractional coordinates:
Np 0.0000 0.0000 0.1702 (multiplicity 2)  12 Rh 2.79-2.89
V 0.0000 0.0000 0.5000 (multiplicity 1)  12 Rh 2.68-2.79
Rh 0.0000 0.5000 0.0000 (multiplicity 2)  8 Rh 2.79-2.87, 4 Np 2.83
Rh 0.0000 0.5000 0.3475 (multiplicity 4)  8 Rh 2.68-2.86, 2 V 2.68, 2 Np 2.89
Rh 0.5000 0.5000 0.1743 (multiplicity 2)  4 Np 2.79, 8 Rh 2.86-2.87
Rh 0.5000 0.5000 0.5000 (multiplicity 1)  8 Rh 2.68, 4 V 2.79

# 3
NpV2Rh after structural relaxation, computed with PBE.

## Properties
**Total magnetic moment**: 0.933 μB per atom
**Density of states at the Fermi level**: 12.125 states/eV/f.u.
**Calculated density**: 11.92 Mg/m³
**Formation energy from the elements**: 0.174 eV per atom
**Energy above the lowest structure with this stoichiometry**: 3.47 kcal/mol of atoms

Lattice parameters (Å, degrees): 6.2674 6.2674 6.2674 90.00 90.00 90.00
Last column: nearest neighbours and their distance in Å.
Space group Fm-3m (No. 225)
Inequivalent atoms, fractional coordinates:
Np 0.0000 0.0000 0.0000 (multiplicity 4)  8 V 2.71
V 0.2500 0.2500 0.2500 (multiplicity 8)  4 Np 2.71, 4 Rh 2.71
Rh 0.0000 0.0000 0.5000 (multiplicity 4)  8 V 2.71

# 4
NpV2Rh after structural relaxation, computed with PBE.

## Properties
**Total magnetic moment**: 0.526 μB per atom
**Density of states at the Fermi level**: 6.857 states/eV/f.u.
**Calculated density**: 12.14 Mg/m³
**Formation energy from the elements**: 0.024 eV per atom
**Energy above the lowest structure with this stoichiometry**: 0.00 kcal/mol of atoms

Lattice parameters (Å, degrees): 4.6111 4.6111 2.8426 90.00 90.00 90.00
Last column: nearest neighbours and their distance in Å.
Space group P4/mmm (No. 123)
Inequivalent atoms, fractional coordinates:
Np 0.0000 0.0000 0.0000 (multiplicity 1)  8 V 2.71, 2 Np 2.84
V 0.0000 0.5000 0.5000 (multiplicity 2)  4 Np 2.71, 4 Rh 2.71, 2 V 2.84
Rh 0.5000 0.5000 0.0000 (multiplicity 1)  8 V 2.71, 2 Rh 2.84

# 5
NpV2Rh after structural relaxation, computed with PBE.

## Properties
**Total magnetic moment**: 0.470 μB per atom
**Density of states at the Fermi level**: 5.116 states/eV/f.u.
**Calculated density**: 12.14 Mg/m³
**Formation energy from the elements**: 0.142 eV per atom
**Energy above the lowest structure with this stoichiometry**: 2.73 kcal/mol of atoms

Lattice parameters (Å, degrees): 3.1617 3.1617 6.0452 90.00 90.00 90.00
Last column: nearest neighbours and their distance in Å.
Space group P4/mmm (No. 123)
Inequivalent atoms, fractional coordinates:
Np 0.0000 0.0000 0.0000 (multiplicity 1)  8 V 2.66
V 0.5000 0.5000 0.2392 (multiplicity 2)  4 Np 2.66, 4 Rh 2.74, 1 V 2.89
Rh 0.0000 0.0000 0.5000 (multiplicity 1)  8 V 2.74, 2 Np 3.02

The calculation returns the following energy values, one per record and in order: -0.33341, -0.32357, -0.34759, -0.35312, -0.34876 Ha/atom.